Record 1
A relaxed Ca3Er crystal, computed with PBE.

Computed properties:
Energy of formation (eV per atom): 0.1491
Excess energy over the best structure of this formula in the dataset (meV per atom): 21.4

a b c (Å): 5.3849 5.3849 10.6722
angles (deg): 90.00 90.00 90.00
Space group I4/mmm (No. 139)
Asymmetric unit:
1 Ca 0.0000 0.0000 0.0000 [2 per cell]
2 Ca 0.0000 0.5000 0.2500 [4 per cell]
3 Er 0.0000 0.0000 0.5000 [2 per cell]

---

Record 2
A relaxed CaEr3 crystal, computed with PBE.

Computed properties:
Energy of formation (eV per atom): 0.1870

a b c (Å): 8.0522 8.0522 8.0522
angles (deg): 90.00 90.00 90.00
Space group Fm-3m (No. 225)
Asymmetric unit:
1 Ca 0.0000 0.0000 0.0000 [4 per cell]
2 Er 0.0000 0.0000 0.5000 [4 per cell]
3 Er 0.2500 0.2500 0.2500 [8 per cell]

---

Record 3
A relaxed CaEr4 crystal, computed with PBE.

Computed properties:
Energy of formation (eV per atom): 0.8797

a b c (Å): 5.5437 5.5437 5.5437
angles (deg): 90.00 90.00 90.00
Space group Pm-3m (No. 221)
Asymmetric unit:
1 Ca 0.0000 0.0000 0.0000 [1 per cell]
2 Er 0.0000 0.0000 0.5000 [3 per cell]
3 Er 0.5000 0.5000 0.5000 [1 per cell]

---

Record 4
A relaxed Ca3Er crystal, computed with PBE.

Computed properties:
Energy of formation (eV per atom): 0.1490
Excess energy over the best structure of this formula in the dataset (meV per atom): 21.3

a b c (Å): 5.3709 5.3709 5.3709
angles (deg): 90.00 90.00 90.00
Space group Pm-3m (No. 221)
Asymmetric unit:
1 Ca 0.0000 0.0000 0.5000 [3 per cell]
2 Er 0.5000 0.5000 0.5000 [1 per cell]

---

Record 5
A relaxed Ca3Er crystal, computed with PBE.

Computed properties:
Energy of formation (eV per atom): 0.2276
Excess energy over the best structure of this formula in the dataset (meV per atom): 99.8

a b c (Å): 3.5233 3.6907 12.0005
angles (deg): 90.00 90.00 90.00
Space group Pmm2 (No. 25)
Asymmetric unit:
1 Ca 0.0000 0.0000 0.0000 [1 per cell]
2 Ca 0.0000 0.5000 0.2748 [1 per cell]
3 Ca 0.5000 0.5000 0.7524 [1 per cell]
4 Er 0.5000 0.0000 0.4979 [1 per cell]

---

Record 6
A relaxed CaEr3 crystal, computed with PBE.

Computed properties:
Energy of formation (eV per atom): 0.0907

a b c (Å): 3.6091 11.5004 6.2667
angles (deg): 90.00 90.00 90.00
Space group Imm2 (No. 44)
Asymmetric unit:
1 Ca 0.0000 0.0000 0.0000 [2 per cell]
2 Er 0.0000 0.2398 0.3388 [4 per cell]
3 Er 0.0000 0.5000 0.0029 [2 per cell]

---

Record 7
A relaxed Ca3Er crystal, computed with PBE.

Computed properties:
Energy of formation (eV per atom): 0.1396
Excess energy over the best structure of this formula in the dataset (meV per atom): 11.8

a b c (Å): 8.4356 8.4356 8.4356
angles (deg): 90.00 90.00 90.00
Space group Fm-3m (No. 225)
Asymmetric unit:
1 Ca 0.0000 0.0000 0.0000 [4 per cell]
2 Ca 0.2500 0.2500 0.2500 [8 per cell]
3 Er 0.0000 0.0000 0.5000 [4 per cell]

---

Record 8
A relaxed Ca6Er crystal, computed with PBE.

Computed properties:
Energy of formation (eV per atom): 1.2264

a b c (Å): 8.9558 8.9558 8.9558
angles (deg): 90.00 90.00 90.00
Space group Im-3m (No. 229)
Asymmetric unit:
1 Ca 0.0000 0.2500 0.5000 [12 per cell]
2 Er 0.0000 0.0000 0.0000 [2 per cell]

---

Record 9
A relaxed CaEr3 crystal, computed with PBE.

Computed properties:
Energy of formation (eV per atom): 0.1439

a b c (Å): 5.0641 5.0641 10.0782
angles (deg): 90.00 90.00 90.00
Space group I4/mmm (No. 139)
Asymmetric unit:
1 Ca 0.0000 0.0000 0.0000 [2 per cell]
2 Er 0.0000 0.0000 0.5000 [2 per cell]
3 Er 0.0000 0.5000 0.2500 [4 per cell]

---

Record 10
A relaxed CaEr3 crystal, computed with PBE.

Computed properties:
Energy of formation (eV per atom): 0.1519

a b c (Å): 5.0578 5.0578 5.0578
angles (deg): 90.00 90.00 90.00
Space group Pm-3m (No. 221)
Asymmetric unit:
1 Ca 0.0000 0.0000 0.0000 [1 per cell]
2 Er 0.0000 0.5000 0.5000 [3 per cell]

---

Record 11
A relaxed CaEr6 crystal, computed with PBE.

Computed properties:
Energy of formation (eV per atom): 1.4502

a b c (Å): 8.3844 8.3844 8.3844
angles (deg): 90.00 90.00 90.00
Space group Im-3m (No. 229)
Asymmetric unit:
1 Ca 0.0000 0.0000 0.0000 [2 per cell]
2 Er 0.0000 0.2500 0.5000 [12 per cell]

---

Record 12
A relaxed Ca3Er crystal, computed with PBE.

Computed properties:
Energy of formation (eV per atom): 0.1277
Excess energy over the best structure of this formula in the dataset (meV per atom): 0.0

a b c (Å): 3.7319 12.4734 6.5757
angles (deg): 90.00 90.00 90.00
Space group Imm2 (No. 44)
Asymmetric unit:
1 Ca 0.0000 0.0000 0.0000 [2 per cell]
2 Ca 0.0000 0.2450 0.3318 [4 per cell]
3 Er 0.0000 0.5000 0.9996 [2 per cell]